# SrTeRuI2 | Alexandria | PBE-GGA | relaxed
# **Energy above the most stable polymorph in this dataset**: 0 meV per atom
# **Density**: 5.90 g/cm³
# **Formation energy without anion corrections**: -384 meV per atom
# **Calculated total energy**: -0.281 Ry/atom
# **Density of states at the Fermi level**: 3.4 states/eV/cell
data_SrTeRuI2
_cell_length_a 5.527
_cell_length_b 5.527
_cell_length_c 5.248
_cell_angle_alpha 90.00
_cell_angle_beta 90.00
_cell_angle_gamma 90.00
_space_group_name_H-M_alt 'P 4/m m m'
_space_group_IT_number 123
_space_group_name_Hall '-P 4 2'
loop_
_atom_site_label
_atom_site_fract_x
_atom_site_fract_y
_atom_site_fract_z
_atom_site_occupancy
Sr1 0.000 0.000 0.000 1
Te1 0.500 0.500 0.000 1
Ru1 0.500 0.500 0.500 1
I1 0.000 0.500 0.500 1